Entry 1:
Entry from Alexandria: a relaxed structure of Rb2Ba5Bi3O2 (GGA-PBE).

Energy (eV/atom): -4.05

abc: 5.434 5.434 31.909
angles: 90.00 90.00 90.00
Space group I4/mmm (No. 139)
One atom of each set of equivalent atoms:
Rb 0.000 0.000 0.209 [4 per cell]
Ba 0.000 0.000 0.000 [2 per cell]
Ba 0.000 0.500 0.095 [8 per cell]
Bi 0.000 0.000 0.330 [4 per cell]
Bi 0.000 0.000 0.500 [2 per cell]
O 0.000 0.000 0.082 [4 per cell]


Entry 2:
Entry from Alexandria: a relaxed structure of PmHo2Zn6 (GGA-PBE).

Energy (eV/atom): -2.76
Formation energy from the elements (eV per atom): -0.370

abc: 7.7879 7.7879 3.5172
angles: 90.00 90.00 120.00
Space group P6/mmm (No. 191)
One atom of each set of equivalent atoms:
Pm 0.0000 0.0000 0.0000 [1 per cell]
Ho 0.3333 0.6667 0.0000 [2 per cell]
Zn 0.0000 0.3360 0.5000 [6 per cell]


Entry 3:
Entry from Alexandria: a relaxed structure of AlW8 (GGA-PBE).

Energy (eV/atom): -11.66
Formation energy from the elements (eV per atom): 0.271

abc: 8.093 8.093 4.457
angles: 90.00 90.00 90.00
Space group I4/mmm (No. 139)
One atom of each set of equivalent atoms:
Al 0.000 0.000 0.000 [2 per cell]
W 0.000 0.331 0.000 [8 per cell]
W 0.163 0.163 0.500 [8 per cell]